VASP calculation (PBE) on a relaxed Cs3Ce3NdSe8 crystal.

Computed properties:
**Density of states at the Fermi level**: 38.7 states/eV/cell
**Uncorrected formation energy**: -1.71 eV/atom
**Crystal system**: trigonal

The structure in CIF format:
```
data_Cs3Ce3NdSe8
_symmetry_space_group_name_H-M 'R -3 m'
_symmetry_Int_Tables_number 166
_symmetry_space_group_name_Hall '-R 3 2"'
_cell_length_a 8.7159
_cell_length_b 8.7159
_cell_length_c 25.4220
_cell_angle_alpha 90.00
_cell_angle_beta 90.00
_cell_angle_gamma 120.00
loop_
_atom_site_label
_atom_site_type_symbol
_atom_site_fract_x
_atom_site_fract_y
_atom_site_fract_z
Cs1 Cs 0.0000 0.5000 0.0000
Ce1 Ce 0.0000 0.5000 0.5000
Nd1 Nd 0.0000 0.0000 0.5000
Se1 Se 0.0000 0.0000 0.2288
Se2 Se 0.0041 0.5020 0.7718
```